Material: Cs2SiPBr6
Method: DFT, GGA-PBE
State: relaxed

## Properties
- ΔE_f (raw) (eV per atom) = -0.81
- space-group type = I4/mmm, No. 139
- final energy (eV/atom) = -3.070

a b c (Å): 7.6739 7.6739 7.6772
angles (deg): 60.01 60.01 90.00
Element x y z (fractional)
Cs1 0.7500 0.2500 0.5000
Cs2 0.2500 0.7500 0.5000
P1 0.0000 0.0000 0.0000
Si1 0.5000 0.5000 0.0000
Br1 0.2501 0.2501 0.4997
Br2 0.7499 0.7499 0.5003
Br3 0.2512 0.2512 0.0000
Br4 0.7488 0.7488 0.0000
Br5 0.7488 0.2512 0.0000
Br6 0.2512 0.7488 0.0000

Material: Cs2SnPBr6
Method: DFT, GGA-PBE
State: relaxed

## Properties
- ΔE_f (raw) (eV per atom) = -0.94
- space-group type = I4/mmm, No. 139
- final energy (eV/atom) = -3.051

a b c (Å): 7.9432 7.9432 7.9584
angles (deg): 60.06 60.06 90.00
Element x y z (fractional)
Cs1 0.7500 0.2500 0.5000
Cs2 0.2500 0.7500 0.5000
P1 0.5000 0.5000 0.0000
Sn1 0.0000 0.0000 0.0000
Br1 0.2604 0.2604 0.4791
Br2 0.7396 0.7396 0.5209
Br3 0.2609 0.2609 0.0000
Br4 0.7391 0.7391 0.0000
Br5 0.7391 0.2609 0.0000
Br6 0.2609 0.7391 0.0000

Material: Cs2SrPBr6
Method: DFT, GGA-PBE
State: relaxed

## Properties
- ΔE_f (raw) (eV per atom) = -1.29
- space-group type = I4/mmm, No. 139
- final energy (eV/atom) = -3.172

a b c (Å): 7.9155 7.9155 8.5539
angles (deg): 62.44 62.44 90.00
Element x y z (fractional)
Cs1 0.7500 0.2500 0.5000
Cs2 0.2500 0.7500 0.5000
Sr1 0.0000 0.0000 0.0000
Br1 0.2300 0.2300 0.5401
Br2 0.7700 0.7700 0.4599
Br3 0.2717 0.2717 0.0000
Br4 0.7283 0.7283 0.0000
Br5 0.7283 0.2717 0.0000
Br6 0.2717 0.7283 0.0000
P1 0.5000 0.5000 0.0000